[1]
The following is a PBE calculation of a relaxed structure of CaLa2NdTl4, from the Alexandria database.

## Properties
The value obtained for the formation energy is -3.42 eV/f.u. As for the crystal system: trigonal. The density of states at the Fermi level is 0.688 states/eV per atom. Its uncorrected energy is -3.689 eV per atom.

abc: 5.5596 5.5596 27.5395
angles: 90.00 90.00 120.00
Space group R-3m (No. 166, hexagonal axes)
Inequivalent atoms, fractional coordinates:
1 Ca 0.0000 0.0000 0.0000 (multiplicity 3)
2 La 0.0000 0.0000 0.2546 (multiplicity 6)
3 Nd 0.0000 0.0000 0.5000 (multiplicity 3)
4 Tl 0.0000 0.0000 0.1264 (multiplicity 6)
5 Tl 0.0000 0.0000 0.3767 (multiplicity 6)

=====

[2]
The following is a PBE calculation of a relaxed structure of CaLaNdTl, from the Alexandria database.

## Properties
The value obtained for the formation energy is -0.53 eV/f.u. As for the crystal system: cubic. The density of states at the Fermi level is 0.752 states/eV per atom. Its uncorrected energy is -3.648 eV per atom.

abc: 8.055 8.055 8.055
angles: 90.00 90.00 90.00
Space group F-43m (No. 216)
Inequivalent atoms, fractional coordinates:
1 Ca 0.000 0.000 0.000 (multiplicity 4)
2 La 0.250 0.250 0.750 (multiplicity 4)
3 Nd 0.250 0.250 0.250 (multiplicity 4)
4 Tl 0.000 0.000 0.500 (multiplicity 4)

=====

[3]
The following is a PBE calculation of a relaxed structure of CaLaNd2Tm, from the Alexandria database.

## Properties
The value obtained for the formation energy is 1.37 eV/f.u. As for the crystal system: monoclinic. The density of states at the Fermi level is 1.508 states/eV per atom. Its uncorrected energy is -3.913 eV per atom.

abc: 9.319 6.510 6.507
angles: 90.00 109.67 90.00
Space group P2/c (No. 13)
Inequivalent atoms, fractional coordinates:
1 Ca 0.000 0.190 0.250 (multiplicity 2)
2 La 0.500 0.000 0.000 (multiplicity 2)
3 Nd 0.188 0.309 0.841 (multiplicity 4)
4 Tm 0.500 0.495 0.250 (multiplicity 2)